Record 1
This record from Alexandria describes a relaxed structure of KGeAs. The functional is PBE.

abc: 4.187 7.051 9.008
angles: 57.06 76.53 53.54
Fractional positions:
As 0.304 0.996 0.509
As 0.887 0.512 0.313
K 0.323 0.412 0.639
K 0.867 0.096 0.184
Ge 0.397 0.742 0.832
Ge 0.793 0.766 0.991

DFT formation energy (eV per atom): -0.16
Total DFT energy (no corrections) (eV/atom): -3.614
Symmetry: C2/m, No. 12

=====

Record 2
This record from Alexandria describes a relaxed structure of LiTiTlO3. The functional is PBE.

abc: 5.506 5.639 5.971
angles: 118.17 90.00 90.00
Fractional positions:
Ti 0.750 0.554 0.109
Ti 0.250 0.446 0.891
O 0.000 0.728 0.000
O 0.250 0.276 0.552
O 0.750 0.724 0.448
O 0.500 0.728 0.000
O 0.000 0.272 0.000
O 0.500 0.272 0.000
Li 0.750 0.930 0.861
Li 0.250 0.070 0.139
Tl 0.750 0.234 0.468
Tl 0.250 0.766 0.532

Total DFT energy (no corrections) (eV/atom): -6.721
ΔE_f (raw) (eV/atom): -2.213
Symmetry: Cmcm, No. 63

=====

Record 3
This record from Alexandria describes a relaxed structure of CeHf2Be. The functional is PBE.

abc: 3.103 3.103 10.111
angles: 81.17 81.17 60.00
Fractional positions:
Hf 0.105 0.105 0.686
Hf 0.895 0.895 0.314
Ce 0.000 0.000 0.000
Be 0.500 0.500 0.500

DFT formation energy (eV per atom): 0.31
Total DFT energy (no corrections) (eV/atom): -7.086
Offset from the most stable computed form (eV/f.u.): 0.930
Symmetry: R-3m, No. 166

=====

Number 1: magnetic moment 0.0 Bohr magnetons per cell, density of states at the Fermi level 0.46 states/eV/atom. Number 2: magnetic moment 0.0 Bohr magnetons per cell, density of states at the Fermi level 0.00 states/eV/atom. Number 3: magnetic moment 0.0 Bohr magnetons per cell, density of states at the Fermi level 1.02 states/eV/atom.